Record 1
Crystalline Pr4BiPbO at its relaxed geometry, computed with GGA-PBE.

a = 6.7237 Å, b = 6.6768 Å, c = 9.7547 Å
α = 90.00°, β = 110.16°, γ = 90.00°
Each line ends with the local moment (μB).
Fractional coordinates of all 14 atoms:
1 Pr 0.5000 0.0000 0.5000  0.12
2 Pr 0.0679 0.7500 0.1358  0.18
3 Pr 0.0000 0.5000 0.5000  0.12
4 Pr 0.5000 0.5000 0.5000  0.12
5 Pr 0.0000 0.0000 0.5000  0.12
6 Pr 0.5797 0.2500 0.1595  0.10
7 Pr 0.9321 0.2500 0.8642  0.18
8 Pr 0.4203 0.7500 0.8405  0.10
9 Pb 0.8890 0.7500 0.7781  -0.01
10 Pb 0.1110 0.2500 0.2219  -0.01
11 O 0.2913 0.7500 0.5827  0.02
12 O 0.7087 0.2500 0.4173  0.02
13 Bi 0.6097 0.7500 0.2195  -0.02
14 Bi 0.3903 0.2500 0.7805  -0.02

Properties
Energy   -5.76 eV per atom



Record 2
Crystalline BiPt2PbO8 at its relaxed geometry, computed with GGA-PBE.

a = 5.8744 Å, b = 5.8744 Å, c = 6.3840 Å
α = 90.00°, β = 90.00°, γ = 120.00°
Fractional coordinates of all 12 atoms:
1 O 0.3947 0.3307 0.8566
2 O 0.9360 0.6053 0.8566
3 O 0.0640 0.3947 0.1434
4 O 0.6667 0.3333 0.3456
5 O 0.6053 0.6693 0.1434
6 O 0.3307 0.9360 0.1434
7 O 0.6693 0.0640 0.8566
8 O 0.3333 0.6667 0.6544
9 Pb 0.0000 0.0000 0.5000
10 Bi 0.0000 0.0000 0.0000
11 Pt 0.3333 0.6667 0.9500
12 Pt 0.6667 0.3333 0.0500

Properties
Energy   -5.02 eV per atom



Record 3
Crystalline BiPtPb2O6 at its relaxed geometry, computed with GGA-PBE.

a = 5.9456 Å, b = 5.9546 Å, c = 8.4038 Å
α = 90.00°, β = 89.97°, γ = 90.00°
Fractional coordinates of all 20 atoms:
1 O 0.8289 0.7892 0.9539
2 O 0.6711 0.2892 0.5461
3 O 0.7299 0.3097 0.9381
4 O 0.7701 0.8097 0.5619
5 O 0.3289 0.7108 0.4539
6 O 0.3934 0.9698 0.7299
7 O 0.1066 0.4698 0.7701
8 O 0.6066 0.0302 0.2701
9 O 0.8934 0.5302 0.2299
10 O 0.2299 0.1903 0.4381
11 O 0.2701 0.6903 0.0619
12 O 0.1711 0.2108 0.0461
13 Pb 0.4908 0.4582 0.2573
14 Pb 0.9908 0.0418 0.7573
15 Pb 0.0092 0.9582 0.2427
16 Pb 0.5092 0.5418 0.7427
17 Pt 0.0000 0.5000 0.0000
18 Pt 0.5000 0.0000 0.5000
19 Bi 0.5000 0.0000 0.0000
20 Bi 0.0000 0.5000 0.5000

Properties
Energy   -5.59 eV per atom



Record 4
Crystalline Bi2PtPbO8 at its relaxed geometry, computed with GGA-PBE.

a = 5.0370 Å, b = 5.0266 Å, c = 6.8647 Å
α = 90.00°, β = 90.00°, γ = 90.22°
Fractional coordinates of all 12 atoms:
1 O 0.7130 0.7172 0.0000
2 O 0.6842 0.6879 0.5000
3 O 0.1791 0.8160 0.2311
4 O 0.3158 0.3121 0.5000
5 O 0.1791 0.8160 0.7689
6 O 0.8209 0.1840 0.2311
7 O 0.8209 0.1840 0.7689
8 O 0.2870 0.2828 0.0000
9 Pt 0.0000 0.0000 0.0000
10 Pb 0.0000 0.0000 0.5000
11 Bi 0.5000 0.5000 0.7585
12 Bi 0.5000 0.5000 0.2415

Properties
Energy   -5.58 eV per atom



Record 5
Crystalline BiPtPbO6 at its relaxed geometry, computed with GGA-PBE.

a = 4.9821 Å, b = 4.9821 Å, c = 10.1596 Å
α = 90.00°, β = 90.00°, γ = 90.00°
Fractional coordinates of all 18 atoms:
1 Pt 0.5000 0.5000 0.8335
2 Pt 0.0000 0.0000 0.3335
3 O 0.3174 0.3174 0.9875
4 O 0.6815 0.6815 0.6789
5 O 0.2103 0.7897 0.8332
6 O 0.7103 0.7103 0.3332
7 O 0.7897 0.2103 0.8332
8 O 0.8185 0.1815 0.1789
9 O 0.1815 0.8185 0.1789
10 O 0.6826 0.6826 0.9875
11 O 0.2897 0.2897 0.3332
12 O 0.8174 0.1826 0.4875
13 O 0.3185 0.3185 0.6789
14 O 0.1826 0.8174 0.4875
15 Pb 0.5000 0.5000 0.4991
16 Pb 0.0000 0.0000 0.9991
17 Bi 0.5000 0.5000 0.1681
18 Bi 0.0000 0.0000 0.6681

Properties
Energy   -5.58 eV per atom



Record 6
Crystalline Bi2PtPbO at its relaxed geometry, computed with GGA-PBE.

a = 5.5449 Å, b = 5.5449 Å, c = 5.3159 Å
α = 90.00°, β = 90.00°, γ = 90.00°
Fractional coordinates of all 5 atoms:
1 Bi 0.0000 0.5000 0.0000
2 Bi 0.5000 0.0000 0.0000
3 O 0.5000 0.5000 0.5000
4 Pt 0.0000 0.0000 0.0000
5 Pb 0.0000 0.0000 0.5000

Properties
Energy   -3.83 eV per atom



Record 7
Crystalline BiPtPb2O8 at its relaxed geometry, computed with GGA-PBE.

a = 5.0377 Å, b = 4.9734 Å, c = 6.7934 Å
α = 90.00°, β = 90.00°, γ = 90.50°
Fractional coordinates of all 12 atoms:
1 O 0.1589 0.7924 0.7712
2 O 0.3290 0.2946 0.5000
3 O 0.3163 0.2591 0.0000
4 O 0.8411 0.2076 0.2288
5 O 0.6837 0.7409 0.0000
6 O 0.8411 0.2075 0.7711
7 O 0.6710 0.7054 0.5000
8 O 0.1589 0.7925 0.2289
9 Pb 0.5000 0.5000 0.2406
10 Pb 0.5000 0.5000 0.7594
11 Bi 0.0000 0.0000 0.5000
12 Pt 0.0000 0.0000 0.0000

Properties
Energy   -5.52 eV per atom



Record 8
Crystalline Pu2Bi2PbO2 at its relaxed geometry, computed with GGA-PBE.

a = 3.7397 Å, b = 3.7397 Å, c = 15.0775 Å
α = 90.00°, β = 90.00°, γ = 120.00°
Each line ends with the local moment (μB).
Fractional coordinates of all 7 atoms:
1 Pu 0.6667 0.3333 0.3993  5.08
2 Pu 0.3333 0.6667 0.6007  5.08
3 Bi 0.0000 0.0000 0.7786  -0.03
4 Bi 0.0000 0.0000 0.2214  -0.03
5 O 0.6667 0.3333 0.5590  -0.12
6 O 0.3333 0.6667 0.4410  -0.12
7 Pb 0.0000 0.0000 0.0000  -0.01

Properties
Energy   -8.64 eV per atom



Record 9
Crystalline PuBiPb2O6 at its relaxed geometry, computed with GGA-PBE.

a = 4.4555 Å, b = 6.2456 Å, c = 6.2456 Å
α = 90.00°, β = 90.00°, γ = 90.00°
Each line ends with the local moment (μB).
Fractional coordinates of all 10 atoms:
1 O 0.7090 0.7597 0.2403  -0.06
2 O 0.7090 0.2403 0.2403  -0.06
3 O 0.7090 0.2403 0.7597  -0.06
4 O 0.1623 0.0000 0.0000  -0.10
5 O 0.7090 0.7597 0.7597  -0.06
6 O 0.1289 0.5000 0.5000  0.03
7 Pu 0.6553 0.0000 0.0000  3.59
8 Bi 0.6213 0.5000 0.5000  -0.01
9 Pb 0.0215 0.0000 0.5000  0.01
10 Pb 0.0215 0.5000 0.0000  0.01

Properties
Energy   -7.15 eV per atom



Record 10
Crystalline PuBiPb2O8 at its relaxed geometry, computed with GGA-PBE.

a = 5.2233 Å, b = 5.2224 Å, c = 6.9755 Å
α = 90.00°, β = 90.00°, γ = 90.36°
Each line ends with the local moment (μB).
Fractional coordinates of all 12 atoms:
1 O 0.7012 0.7021 0.0000  -0.03
2 O 0.8164 0.1844 0.7806  -0.09
3 O 0.6870 0.6879 0.5000  0.04
4 O 0.1836 0.8156 0.2194  -0.09
5 O 0.8164 0.1844 0.2194  -0.09
6 O 0.3130 0.3121 0.5000  0.04
7 O 0.1836 0.8156 0.7806  -0.09
8 O 0.2988 0.2979 0.0000  -0.03
9 Bi 0.0000 0.0000 0.5000  0.01
10 Pb 0.5000 0.5000 0.7527  0.03
11 Pb 0.5000 0.5000 0.2473  0.03
12 Pu 0.0000 0.0000 0.0000  2.69

Properties
Energy   -6.93 eV per atom



Record 11
Crystalline Rb2Bi2PbO6 at its relaxed geometry, computed with GGA-PBE.

a = 6.1596 Å, b = 6.1596 Å, c = 7.0338 Å
α = 98.31°, β = 98.31°, γ = 119.27°
Fractional coordinates of all 11 atoms:
1 O 0.9552 0.6258 0.3271
2 O 0.2320 0.2320 0.3203
3 O 0.7680 0.7680 0.6797
4 O 0.3742 0.0448 0.6729
5 O 0.0448 0.3742 0.6729
6 O 0.6258 0.9552 0.3271
7 Bi 0.3322 0.6678 0.5000
8 Bi 0.6678 0.3322 0.5000
9 Rb 0.8315 0.1685 0.0000
10 Rb 0.1685 0.8315 0.0000
11 Pb 0.0000 0.0000 0.5000

Properties
Energy   -5.12 eV per atom



Record 12
Crystalline RbBi2PbO at its relaxed geometry, computed with GGA-PBE.

a = 6.3971 Å, b = 4.2697 Å, c = 6.3971 Å
α = 90.00°, β = 90.00°, γ = 90.00°
Fractional coordinates of all 5 atoms:
1 Pb 0.0000 0.0000 0.0000
2 O 0.0000 0.5000 0.0000
3 Rb 0.5000 0.5000 0.5000
4 Bi 0.0000 0.0000 0.5000
5 Bi 0.5000 0.0000 0.0000

Properties
Energy   -3.40 eV per atom



- Which of these has the highest energy?
  RbBi2PbO



- Which value of energy does entry 11 give?
  -5.12 eV per atom



- Which value of energy does entry 2 give?
  -5.02 eV per atom



Please write out number 12 again, unchanged.
Crystalline RbBi2PbO at its relaxed geometry, computed with GGA-PBE.

a = 6.3971 Å, b = 4.2697 Å, c = 6.3971 Å
α = 90.00°, β = 90.00°, γ = 90.00°
Fractional coordinates of all 5 atoms:
1 Pb 0.0000 0.0000 0.0000
2 O 0.0000 0.5000 0.0000
3 Rb 0.5000 0.5000 0.5000
4 Bi 0.0000 0.0000 0.5000
5 Bi 0.5000 0.0000 0.0000

Properties
Energy   -3.40 eV per atom